Compound: ZrCrTe2C
Source: the Alexandria database
Functional: PBE
Structure: relaxed

```
ZrCrTe2C
1.0
5.5539 0.0000 0.0000
0.0000 4.7570 0.0000
0.0000 0.0000 5.5539
Cr C Te Zr
1 1 2 1
direct
0.0000 0.5000 0.0000
0.5000 0.5000 0.5000
0.0000 0.0000 0.5000
0.5000 0.0000 0.0000
0.0000 0.0000 0.0000
```

## Properties
* electronic total energy: -23.0 eV for the cell shown
* uncorrected formation energy: 2.13 eV/atom